(1)
A plane-wave DFT calculation with PBE was carried out for crystalline NaHf2Co at its relaxed geometry.

The value obtained for the electronic total energy is -5.936 eV per atom. The value obtained for the formation energy is 1.1474 eV per atom.

Cell: 6.0601 6.0601 8.3047 Å, 68.60 68.60 90.00°
Closest atoms and distances in Å follow each position.
Fractional positions:
Co (0.7500, 0.2500, 0.5000)  4 Hf 2.34
Co (0.0000, 0.0000, 0.0000)  4 Hf 2.34
Na (0.2500, 0.7500, 0.5000)  8 Hf 3.83
Na (0.5000, 0.5000, 0.0000)  8 Hf 3.83
Hf (0.3750, 0.1251, 0.7500)  2 Co 2.34
Hf (0.8750, 0.1249, 0.7500)  2 Co 2.34
Hf (0.8749, 0.1250, 0.2500)  2 Co 2.34
Hf (0.8751, 0.6250, 0.2500)  2 Co 2.34

---

(2)
A plane-wave DFT calculation with PBE was carried out for crystalline Cu3SeO at its relaxed geometry.

The value obtained for the electronic total energy is -4.337 eV per atom. The value obtained for the formation energy from raw total energies is -18.4 kJ per mole of atoms.

Cell: 4.0644 5.8155 6.4504 Å, 116.79 90.00 90.00°
Closest atoms and distances in Å follow each position.
Fractional positions:
Cu (0.2500, 0.1483, 0.3800)  1 O 2.06
Cu (0.2500, 0.5790, 0.8074)  3 O 2.04-2.05
Cu (0.2500, 0.5847, 0.3821)  1 O 2.06
Cu (0.7500, 0.7716, 0.1926)  3 O 2.04-2.05
Cu (0.7500, 0.7683, 0.6200)  1 O 2.06
Cu (0.7500, 0.2026, 0.6179)  1 O 2.06
Se (0.7500, 0.3012, 0.2498)  6 Cu 2.51-2.69
Se (0.2500, 0.0514, 0.7502)  6 Cu 2.51-2.69
O (0.2500, 0.7575, 0.1641)  5 Cu 2.04-2.06
O (0.7500, 0.5935, 0.8359)  5 Cu 2.04-2.06

---

Summary of magnetic moment in μB per formula unit
0.0; 0.0
(order as listed above)
Summary of energy above the lowest structure with this stoichiometry in meV/atom
740; 0
(order as listed above)